# YSn | Alexandria | GGA-PBE | relaxed
# Energy relative to the elements   0.54 eV per formula unit
# Fermi-level density of states   16.531 states/eV per cell
data_YSn
_chemical_formula_sum 'Y4 Sn4'
_space_group_name_H-M_alt 'F -4 3 m'
_space_group_IT_number 216
_space_group_name_Hall 'F -4 2 3'
_cell_length_a 7.010
_cell_length_b 7.010
_cell_length_c 7.010
_cell_angle_alpha 90.00
_cell_angle_beta 90.00
_cell_angle_gamma 90.00
loop_
_atom_site_label
_atom_site_type_symbol
_atom_site_fract_x
_atom_site_fract_y
_atom_site_fract_z
Y1 Y 0.000 0.000 0.000
Sn1 Sn 0.250 0.250 0.750